EuEr3: optimized geometry, PBE.

Structure (extended XYZ):
```
4
Lattice="5.046 0.000 0.000 0.000 5.046 0.000 0.000 0.000 5.046" Properties=species:S:1:pos:R:3 pbc="T T T"
Eu 0.000 0.000 0.000
Er 0.000 2.523 2.523
Er 2.523 0.000 2.523
Er 2.523 2.523 0.000
```

Computed properties:
* crystal system: cubic
* space-group type: Pm-3m (221)
* ΔE_f: 0.103 eV/atom
* energy relative to the lowest polymorph listed for this composition: 31.1 meV per atom
* DOS at the Fermi energy: 6.33 states/eV/cell